[1]
# RuPt2Br

A geometry-optimized RuPt2Br structure (PBE-GGA, Alexandria).

a = 4.9241 Å, b = 4.9241 Å, c = 2.7782 Å
α = 90.00°, β = 90.00°, γ = 90.00°
Sites, in units of the cell vectors:
Ru 0.0000 0.0000 0.0000
Pt 0.0000 0.5000 0.5000
Pt 0.5000 0.0000 0.5000
Br 0.5000 0.5000 0.0000

Values from the calculation:
As for the space group: P4/mmm, No. 123. The value obtained for the uncorrected formation energy is 824 meV/atom. For the excess energy over the best structure of this formula in the dataset, the calculation gives 447 meV/atom. The density of states at the Fermi level is 5.92 states/eV per cell. The calculation puts the energy at -19.735 eV/f.u.

---

[2]
# RuPtBr3

A geometry-optimized RuPtBr3 structure (PBE-GGA, Alexandria).

a = 5.1439 Å, b = 5.1439 Å, c = 5.1439 Å
α = 90.00°, β = 90.00°, γ = 90.00°
Sites, in units of the cell vectors:
Ru 0.0000 0.0000 0.0000
Pt 0.5000 0.5000 0.5000
Br 0.0000 0.5000 0.5000
Br 0.5000 0.0000 0.5000
Br 0.5000 0.5000 0.0000

Values from the calculation:
As for the space group: Pm-3m, No. 221. The value obtained for the uncorrected formation energy is 857 meV/atom. For the excess energy over the best structure of this formula in the dataset, the calculation gives 0 meV/atom. The density of states at the Fermi level is 9.92 states/eV per cell. The calculation puts the energy at -16.050 eV/f.u.

---

[3]
# RuPt2Br

A geometry-optimized RuPt2Br structure (PBE-GGA, Alexandria).

a = 2.7989 Å, b = 3.4728 Å, c = 7.3167 Å
α = 90.00°, β = 90.00°, γ = 90.00°
Sites, in units of the cell vectors:
Ru 0.0000 0.0000 0.0000
Pt 0.5000 0.5000 0.2066
Pt 0.5000 0.5000 0.7934
Br 0.5000 0.0000 0.5000

Values from the calculation:
As for the space group: Pmmm, No. 47. The value obtained for the uncorrected formation energy is 389 meV/atom. For the excess energy over the best structure of this formula in the dataset, the calculation gives 12 meV/atom. The density of states at the Fermi level is 4.56 states/eV per cell. The calculation puts the energy at -21.476 eV/f.u.